Entry 1:
## TlZnSeF (GGA-PBE)

Data for an optimized crystal structure of TlZnSeF.

Values from the calculation:
Symmetry: No. 129
Energy above the most stable polymorph in this dataset in eV per atom: 0.030

Cell lengths 4.204, 4.204, 9.629 Å; angles 90.00, 90.00, 90.00 degrees
Positions (direct):
Tl (0.250, 0.250, 0.145)
Tl (0.750, 0.750, 0.855)
Zn (0.250, 0.750, 0.500)
Zn (0.750, 0.250, 0.500)
Se (0.250, 0.250, 0.647)
Se (0.750, 0.750, 0.353)
F (0.250, 0.750, 0.000)
F (0.750, 0.250, 0.000)


Entry 2:
## Sc2Os (GGA-PBE)

Data for an optimized crystal structure of Sc2Os.

Values from the calculation:
ΔE_f in eV per atom: 1.27
Symmetry: No. 227

Cell lengths 7.851, 7.851, 7.851 Å; angles 60.00, 60.00, 60.00 degrees
Positions (direct):
Sc (0.000, 0.000, 0.000)
Sc (0.000, 0.000, 0.500)
Sc (0.000, 0.500, 0.000)
Sc (0.500, 0.000, 0.000)
Os (0.125, 0.125, 0.125)
Os (0.875, 0.875, 0.875)


Entry 3:
## CdCuTcGe (GGA-PBE)

Data for an optimized crystal structure of CdCuTcGe.

Values from the calculation:
Symmetry: No. 216
Energy above the most stable polymorph in this dataset in eV per atom: 0.000

Cell lengths 4.445, 4.445, 4.445 Å; angles 60.00, 60.00, 60.00 degrees
Positions (direct):
Cd (0.000, 0.000, 0.000)
Cu (0.750, 0.750, 0.750)
Tc (0.250, 0.250, 0.250)
Ge (0.500, 0.500, 0.500)


Entry 4:
## UIrPb (GGA-PBE)

Data for an optimized crystal structure of UIrPb.

Values from the calculation:
Symmetry: No. 216
Electronic total energy in eV per atom: -8.0192

Cell lengths 4.705, 4.705, 4.705 Å; angles 60.00, 60.00, 60.00 degrees
Positions (direct):
U (0.000, 0.000, 0.000)
Ir (0.750, 0.750, 0.750)
Pb (0.500, 0.500, 0.500)


Entry 5:
## LuCoRe (GGA-PBE)

Data for an optimized crystal structure of LuCoRe.

Values from the calculation:
ΔE_f in eV per atom: 0.81
Symmetry: No. 216
Energy above the most stable polymorph in this dataset in eV per atom: 0.000

Cell lengths 4.291, 4.291, 4.291 Å; angles 60.00, 60.00, 60.00 degrees
Positions (direct):
Lu (0.000, 0.000, 0.000)
Co (0.500, 0.500, 0.500)
Re (0.750, 0.750, 0.750)


Entry 6:
## Er3Ga4Ag2 (GGA-PBE)

Data for an optimized crystal structure of Er3Ga4Ag2.

Values from the calculation:
Symmetry: No. 12
Electronic total energy in eV per atom: -4.0374

Cell lengths 5.750, 5.750, 8.510 Å; angles 112.51, 112.51, 46.49 degrees
Positions (direct):
Er (0.000, 0.000, 0.000)
Er (0.330, 0.330, 0.340)
Er (0.670, 0.670, 0.660)
Ga (0.034, 0.034, 0.370)
Ga (0.257, 0.257, 0.924)
Ga (0.743, 0.743, 0.076)
Ga (0.966, 0.966, 0.630)
Ag (0.394, 0.394, 0.727)
Ag (0.606, 0.606, 0.273)


Entry 7:
## SmH3 (GGA-PBE)

Data for an optimized crystal structure of SmH3.

Values from the calculation:
Symmetry: No. 165
Electronic total energy in eV per atom: -4.2862

Cell lengths 6.487, 6.487, 6.719 Å; angles 90.00, 90.00, 120.00 degrees
Positions (direct):
Sm (0.000, 0.336, 0.250)
Sm (0.000, 0.664, 0.750)
Sm (0.336, 0.000, 0.250)
Sm (0.336, 0.336, 0.750)
Sm (0.664, 0.000, 0.750)
Sm (0.664, 0.664, 0.250)
H (0.000, 0.000, 0.250)
H (0.000, 0.000, 0.750)
H (0.025, 0.348, 0.906)
H (0.025, 0.677, 0.406)
H (0.323, 0.348, 0.406)
H (0.323, 0.975, 0.906)
H (0.333, 0.667, 0.179)
H (0.333, 0.667, 0.679)
H (0.348, 0.025, 0.594)
H (0.348, 0.323, 0.094)
H (0.652, 0.677, 0.906)
H (0.652, 0.975, 0.406)
H (0.667, 0.333, 0.321)
H (0.667, 0.333, 0.821)
H (0.677, 0.025, 0.094)
H (0.677, 0.652, 0.594)
H (0.975, 0.323, 0.594)
H (0.975, 0.652, 0.094)


Entry 8:
## CsTeWAuSe2 (GGA-PBE)

Data for an optimized crystal structure of CsTeWAuSe2.

Values from the calculation:
Symmetry: No. 63
Electronic total energy in eV per atom: -4.7306

Cell lengths 8.716, 8.716, 10.623 Å; angles 90.00, 90.00, 153.66 degrees
Positions (direct):
Cs (0.234, 0.766, 0.750)
Cs (0.766, 0.234, 0.250)
Te (0.069, 0.931, 0.250)
Te (0.931, 0.069, 0.750)
W (0.000, 0.000, 0.000)
W (0.000, 0.000, 0.500)
Au (0.449, 0.551, 0.250)
Au (0.551, 0.449, 0.750)
Se (0.398, 0.602, 0.027)
Se (0.398, 0.602, 0.473)
Se (0.602, 0.398, 0.527)
Se (0.602, 0.398, 0.973)


Entry 9:
## NpCoNi (GGA-PBE)

Data for an optimized crystal structure of NpCoNi.

Values from the calculation:
ΔE_f in eV per atom: 0.40
Symmetry: No. 216
Energy above the most stable polymorph in this dataset in eV per atom: 0.000

Cell lengths 4.098, 4.098, 4.098 Å; angles 60.00, 60.00, 60.00 degrees
Positions (direct):
Np (0.000, 0.000, 0.000)
Co (0.500, 0.500, 0.500)
Ni (0.250, 0.250, 0.250)


Entry 10:
## Sc2ZnPt (GGA-PBE)

Data for an optimized crystal structure of Sc2ZnPt.

Values from the calculation:
ΔE_f in eV per atom: -0.84
Symmetry: No. 123

Cell lengths 4.660, 4.660, 3.348 Å; angles 90.00, 90.00, 90.00 degrees
Positions (direct):
Sc (0.000, 0.500, 0.000)
Sc (0.500, 0.000, 0.000)
Zn (0.000, 0.000, 0.500)
Pt (0.500, 0.500, 0.500)


Entry 11:
## CdH6S4O16 (GGA-PBE)

Data for an optimized crystal structure of CdH6S4O16.

Values from the calculation:
Symmetry: No. 14
Electronic total energy in eV per atom: -5.2421

Cell lengths 5.069, 15.558, 8.125 Å; angles 90.00, 112.91, 90.00 degrees
Positions (direct):
Cd (0.000, 0.000, 0.000)
Cd (0.000, 0.500, 0.500)
H (0.039, 0.167, 0.937)
H (0.039, 0.333, 0.437)
H (0.191, 0.702, 0.273)
H (0.191, 0.798, 0.773)
H (0.282, 0.717, 0.105)
H (0.282, 0.783, 0.605)
H (0.718, 0.217, 0.395)
H (0.718, 0.283, 0.895)
H (0.809, 0.202, 0.227)
H (0.809, 0.298, 0.727)
H (0.961, 0.667, 0.563)
H (0.961, 0.833, 0.063)
S (0.184, 0.184, 0.697)
S (0.184, 0.316, 0.197)
S (0.345, 0.554, 0.194)
S (0.345, 0.946, 0.694)
S (0.655, 0.054, 0.306)
S (0.655, 0.446, 0.806)
S (0.816, 0.684, 0.803)
S (0.816, 0.816, 0.303)
O (0.006, 0.239, 0.119)
O (0.006, 0.261, 0.619)
O (0.054, 0.611, 0.798)
O (0.054, 0.889, 0.298)
O (0.126, 0.630, 0.642)
O (0.126, 0.870, 0.142)
O (0.290, 0.141, 0.578)
O (0.290, 0.359, 0.078)
O (0.291, 0.538, 0.356)
O (0.291, 0.962, 0.856)
O (0.334, 0.686, 0.220)
O (0.334, 0.814, 0.720)
O (0.347, 0.047, 0.268)
O (0.347, 0.453, 0.768)
O (0.365, 0.195, 0.885)
O (0.365, 0.305, 0.385)
O (0.635, 0.695, 0.615)
O (0.635, 0.805, 0.115)
O (0.653, 0.547, 0.232)
O (0.653, 0.953, 0.732)
O (0.666, 0.186, 0.280)
O (0.666, 0.314, 0.780)
O (0.709, 0.038, 0.144)
O (0.709, 0.462, 0.644)
O (0.710, 0.641, 0.922)
O (0.710, 0.859, 0.422)
O (0.874, 0.130, 0.858)
O (0.874, 0.370, 0.358)
O (0.946, 0.111, 0.702)
O (0.946, 0.389, 0.202)
O (0.994, 0.739, 0.381)
O (0.994, 0.761, 0.881)


Entry 12:
## GaNi2Hg (GGA-PBE)

Data for an optimized crystal structure of GaNi2Hg.

Values from the calculation:
Symmetry: No. 216
Electronic total energy in eV per atom: -3.4743

Cell lengths 4.330, 4.330, 4.330 Å; angles 60.00, 60.00, 60.00 degrees
Positions (direct):
Ga (0.000, 0.000, 0.000)
Ni (0.500, 0.500, 0.500)
Ni (0.750, 0.750, 0.750)
Hg (0.250, 0.250, 0.250)


Entry 13:
## NdTmU (GGA-PBE)

Data for an optimized crystal structure of NdTmU.

Values from the calculation:
ΔE_f in eV per atom: 1.27
Symmetry: No. 216
Energy above the most stable polymorph in this dataset in eV per atom: 0.000

Cell lengths 5.279, 5.279, 5.279 Å; angles 60.00, 60.00, 60.00 degrees
Positions (direct):
Nd (0.000, 0.000, 0.000)
Tm (0.250, 0.250, 0.250)
U (0.500, 0.500, 0.500)


Entry 14:
## ErLuFeGe2 (GGA-PBE)

Data for an optimized crystal structure of ErLuFeGe2.

Values from the calculation:
Symmetry: No. 12
Electronic total energy in eV per atom: -6.0001

Cell lengths 5.602, 5.602, 10.026 Å; angles 115.68, 115.68, 43.58 degrees
Positions (direct):
Er (0.188, 0.188, 0.113)
Er (0.812, 0.812, 0.887)
Lu (0.005, 0.005, 0.332)
Lu (0.995, 0.995, 0.668)
Fe (0.275, 0.275, 0.639)
Fe (0.725, 0.725, 0.361)
Ge (0.349, 0.349, 0.436)
Ge (0.488, 0.488, 0.126)
Ge (0.512, 0.512, 0.874)
Ge (0.651, 0.651, 0.564)


Entry 15:
## PrDyGa2Ni4 (GGA-PBE)

Data for an optimized crystal structure of PrDyGa2Ni4.

Values from the calculation:
Symmetry: No. 187
Electronic total energy in eV per atom: -5.2459

Cell lengths 4.171, 4.171, 9.150 Å; angles 90.00, 90.00, 120.00 degrees
Positions (direct):
Pr (0.000, 0.000, 0.000)
Dy (0.333, 0.667, 0.500)
Ga (0.667, 0.333, 0.260)
Ga (0.667, 0.333, 0.740)
Ni (0.000, 0.000, 0.319)
Ni (0.000, 0.000, 0.681)
Ni (0.333, 0.667, 0.203)
Ni (0.333, 0.667, 0.797)